# Dy2YBi4, relaxed, DFT PBE
# energy of formation = -0.602 eV per atom
# total moment = 0.00 μB per atom
# electronic total energy = -5.058 eV per atom
data_Dy2YBi4
_symmetry_space_group_name_H-M 'C m c m'
_symmetry_Int_Tables_number 63
_symmetry_space_group_name_Hall '-C 2c 2'
_cell_length_a 4.4971
_cell_length_b 11.3014
_cell_length_c 17.1424
_cell_angle_alpha 90.00
_cell_angle_beta 90.00
_cell_angle_gamma 90.00
loop_
_atom_site_label
_atom_site_type_symbol
_atom_site_fract_x
_atom_site_fract_y
_atom_site_fract_z
_atom_site_occupancy
Dy1 Dy 0.0000 0.1611 0.0746 1
Y1 Y 0.0000 0.4453 0.2500 1
Bi1 Bi 0.0000 0.1463 0.6217 1
Bi2 Bi 0.0000 0.1540 0.2500 1
Bi3 Bi 0.0000 0.5000 0.0000 1